Computed, not measured: a relaxed structure of NpVBr2 at the PBE level of DFT.

Cell: 3.270 3.270 9.720 Å, 80.32 80.32 60.00°
Site moments in Bohr magnetons follow the coordinates.
Atoms (fractional coordinates):
1 Br 0.895 0.895 0.316  0.00
2 Np 0.000 0.000 0.000  4.12
3 V 0.500 0.500 0.500  -0.95
4 Br 0.105 0.105 0.684  0.00

## Properties
Raw formation energy, eV/atom: 0.0420
SG: R-3m
V, A^3/atom: 22.1